Computed, not measured: a PBEsol-optimized structure of ZrZn3Cu at the meta-GGA SCAN level of DFT.

Lattice parameters (Å, degrees): 4.384 4.384 4.384 90.00 90.00 90.00
Fractional positions:
Zn1 0.000 0.500 0.000
Zn2 0.000 0.000 0.500
Zn3 0.500 0.000 0.000
Cu1 0.000 0.000 0.000
Zr1 0.500 0.500 0.500

Output
- SG = Pm-3m, No. 221
- E_form (eV/atom) = 0.125

***

Computed, not measured: a PBEsol-optimized structure of ZrZn2Cu at the meta-GGA SCAN level of DFT.

Lattice parameters (Å, degrees): 2.716 4.180 5.487 90.00 101.40 90.00
Fractional positions:
Cu1 0.000 0.500 0.500
Zn1 0.852 0.000 0.721
Zn2 0.148 0.000 0.279
Zr1 0.500 0.500 0.000

Output
- SG = P2/m, No. 10
- E_form (eV/atom) = -0.139

***

Computed, not measured: a PBEsol-optimized structure of ZrZn20Cu2 at the meta-GGA SCAN level of DFT.

Lattice parameters (Å, degrees): 9.712 9.712 9.712 60.00 60.00 60.00
Fractional positions:
Zr1 0.000 0.000 0.000
Zr2 0.250 0.250 0.250
Zn1 0.325 0.804 0.804
Zn2 0.804 0.325 0.068
Zn3 0.804 0.068 0.325
Zn4 0.068 0.804 0.804
Zn5 0.325 0.068 0.804
Zn6 0.804 0.804 0.325
Zn7 0.804 0.804 0.068
Zn8 0.068 0.325 0.804
Zn9 0.325 0.804 0.068
Zn10 0.804 0.068 0.804
Zn11 0.804 0.325 0.804
Zn12 0.068 0.804 0.325
Zn13 0.925 0.446 0.446
Zn14 0.446 0.925 0.182
Zn15 0.446 0.182 0.925
Zn16 0.182 0.446 0.446
Zn17 0.925 0.182 0.446
Zn18 0.446 0.446 0.925
Zn19 0.446 0.446 0.182
Zn20 0.182 0.925 0.446
Zn21 0.925 0.446 0.182
Zn22 0.446 0.182 0.446
Zn23 0.446 0.925 0.446
Zn24 0.182 0.446 0.925
Zn25 0.638 0.638 0.362
Zn26 0.362 0.362 0.638
Zn27 0.638 0.362 0.638
Zn28 0.362 0.638 0.362
Zn29 0.638 0.362 0.362
Zn30 0.362 0.638 0.638
Zn31 0.612 0.612 0.888
Zn32 0.888 0.888 0.612
Zn33 0.612 0.888 0.612
Zn34 0.888 0.612 0.888
Zn35 0.612 0.888 0.888
Zn36 0.888 0.612 0.612
Zn37 0.125 0.125 0.125
Zn38 0.125 0.125 0.625
Zn39 0.125 0.625 0.125
Zn40 0.625 0.125 0.125
Cu1 0.625 0.625 0.625
Cu2 0.625 0.625 0.125
Cu3 0.625 0.125 0.625
Cu4 0.125 0.625 0.625

Output
- SG = Fd-3m, No. 227
- E_form (eV/atom) = -0.141

***

Computed, not measured: a PBEsol-optimized structure of ZrZn2Cu at the meta-GGA SCAN level of DFT.

Lattice parameters (Å, degrees): 2.632 5.364 5.299 116.88 97.96 102.55
Fractional positions:
Cu1 0.500 0.000 0.000
Zn1 0.500 0.500 0.500
Zn2 0.000 0.000 0.500
Zr1 0.000 0.500 0.000

Output
- SG = C2/m, No. 12
- E_form (eV/atom) = 0.044

***

Computed, not measured: a PBEsol-optimized structure of Zr4Cu3 at the meta-GGA SCAN level of DFT.

Lattice parameters (Å, degrees): 5.099 5.099 5.325 90.00 90.00 120.00
Fractional positions:
Cu1 0.000 0.500 0.000
Cu2 0.500 0.000 0.000
Cu3 0.500 0.500 0.000
Zr1 0.000 0.000 0.748
Zr2 0.000 0.000 0.252
Zr3 0.333 0.667 0.500
Zr4 0.667 0.333 0.500

Output
- relative energy among the computed polymorphs (eV per formula unit) = 0.37
- SG = P6/mmm, No. 191
- E_form (eV/atom) = -0.095

***

Computed, not measured: a PBEsol-optimized structure of ZrCu2 at the meta-GGA SCAN level of DFT.

Lattice parameters (Å, degrees): 4.536 4.661 4.808 119.00 90.00 90.00
Fractional positions:
Cu1 0.250 0.480 0.363
Cu2 0.750 0.520 0.637
Cu3 0.250 0.118 0.637
Cu4 0.750 0.882 0.363
Zr1 0.250 0.773 0.000
Zr2 0.750 0.227 0.000

Output
- SG = Cmcm, No. 63
- E_form (eV/atom) = -0.157

***

Computed, not measured: a PBEsol-optimized structure of ZrCu3 at the meta-GGA SCAN level of DFT.

Lattice parameters (Å, degrees): 4.176 5.596 5.596 120.00 90.00 90.00
Fractional positions:
Cu1 0.750 0.150 0.300
Cu2 0.250 0.850 0.700
Cu3 0.750 0.150 0.850
Cu4 0.250 0.850 0.150
Cu5 0.750 0.700 0.850
Cu6 0.250 0.300 0.150
Zr1 0.750 0.667 0.333
Zr2 0.250 0.333 0.667

Output
- SG = P6_3/mmc, No. 194
- E_form (eV/atom) = -0.121

***

Computed, not measured: a PBEsol-optimized structure of Zr4Cu3 at the meta-GGA SCAN level of DFT.

Lattice parameters (Å, degrees): 3.217 3.217 12.142 97.61 97.61 90.00
Fractional positions:
Cu1 0.000 0.000 0.000
Cu2 0.275 0.275 0.550
Cu3 0.725 0.725 0.450
Zr1 0.158 0.158 0.316
Zr2 0.429 0.429 0.859
Zr3 0.571 0.571 0.141
Zr4 0.842 0.842 0.684

Output
- relative energy among the computed polymorphs (eV per formula unit) = 0.00
- SG = I4/mmm, No. 139
- E_form (eV/atom) = -0.147

***

Computed, not measured: a PBEsol-optimized structure of ZrCu3 at the meta-GGA SCAN level of DFT.

Lattice parameters (Å, degrees): 2.753 4.350 4.712 90.00 90.00 90.00
Fractional positions:
Cu1 0.000 0.000 0.973
Cu2 0.500 0.000 0.529
Cu3 0.500 0.500 0.831
Zr1 0.000 0.500 0.334

Output
- SG = Pmm2, No. 25
- E_form (eV/atom) = 0.069

***

Computed, not measured: a PBEsol-optimized structure of Zr2Cu3 at the meta-GGA SCAN level of DFT.

Lattice parameters (Å, degrees): 5.071 5.071 7.454 100.04 100.04 119.16
Fractional positions:
Cu1 0.441 0.585 0.755
Cu2 0.830 0.686 0.245
Cu3 0.936 0.580 0.745
Cu4 0.835 0.191 0.255
Cu5 0.951 0.951 0.000
Cu6 0.201 0.701 0.500
Zr1 0.507 0.164 0.894
Zr2 0.271 0.614 0.106
Zr3 0.864 0.021 0.606
Zr4 0.414 0.257 0.394

Output
- SG = Fdd2, No. 43
- E_form (eV/atom) = -0.160

***

Computed, not measured: a PBEsol-optimized structure of ZrCu2 at the meta-GGA SCAN level of DFT.

Lattice parameters (Å, degrees): 4.568 5.372 7.393 90.00 90.00 90.00
Fractional positions:
Cu1 0.750 0.059 0.737
Cu2 0.750 0.824 0.458
Cu3 0.250 0.676 0.958
Cu4 0.250 0.441 0.237
Cu5 0.750 0.559 0.763
Cu6 0.750 0.324 0.042
Cu7 0.250 0.176 0.542
Cu8 0.250 0.941 0.263
Zr1 0.750 0.814 0.099
Zr2 0.250 0.686 0.599
Zr3 0.750 0.314 0.401
Zr4 0.250 0.186 0.901

Output
- SG = Pnma, No. 62
- E_form (eV/atom) = -0.149

***

Computed, not measured: a PBEsol-optimized structure of Zr5Cu3 at the meta-GGA SCAN level of DFT.

Lattice parameters (Å, degrees): 5.202 8.036 8.036 120.00 90.00 90.00
Fractional positions:
Cu1 0.250 0.000 0.401
Cu2 0.750 0.000 0.599
Cu3 0.250 0.599 0.599
Cu4 0.750 0.599 0.000
Cu5 0.750 0.401 0.401
Cu6 0.250 0.401 0.000
Zr1 0.750 0.000 0.241
Zr2 0.250 0.000 0.759
Zr3 0.750 0.759 0.759
Zr4 0.250 0.759 0.000
Zr5 0.000 0.667 0.333
Zr6 0.500 0.667 0.333
Zr7 0.000 0.333 0.667
Zr8 0.500 0.333 0.667
Zr9 0.250 0.241 0.241
Zr10 0.750 0.241 0.000

Output
- SG = P6_3/mcm, No. 193
- E_form (eV/atom) = -0.098

***

Computed, not measured: a PBEsol-optimized structure of ZrCu5 at the meta-GGA SCAN level of DFT.

Lattice parameters (Å, degrees): 4.796 4.796 4.796 60.00 60.00 60.00
Fractional positions:
Cu1 0.624 0.624 0.127
Cu2 0.250 0.250 0.250
Cu3 0.624 0.127 0.624
Cu4 0.624 0.624 0.624
Cu5 0.127 0.624 0.624
Zr1 0.000 0.000 0.000

Output
- SG = F-43m, No. 216
- E_form (eV/atom) = -0.162

***

Computed, not measured: a PBEsol-optimized structure of Dy at the meta-GGA SCAN level of DFT.

Lattice parameters (Å, degrees): 3.525 3.525 5.533 90.00 90.00 120.00
Each line ends with the local moment (μB).
Fractional positions:
Dy1 0.333 0.667 0.250  0.11
Dy2 0.667 0.333 0.750  0.11

Output
- relative energy among the computed polymorphs (eV per formula unit) = 0.01
- SG = P6_3/mmc, No. 194
- E_form (eV/atom) = 0.010

***

Computed, not measured: a PBEsol-optimized structure of Dy at the meta-GGA SCAN level of DFT.

Lattice parameters (Å, degrees): 3.490 3.490 8.602 78.29 78.29 60.00
Fractional positions:
Dy1 0.000 0.000 0.000
Dy2 0.778 0.778 0.667
Dy3 0.222 0.222 0.333

Output
- relative energy among the computed polymorphs (eV per formula unit) = 0.00
- SG = R-3m, No. 166
- E_form (eV/atom) = 0.000

***

Computed, not measured: a PBEsol-optimized structure of Dy at the meta-GGA SCAN level of DFT.

Lattice parameters (Å, degrees): 3.385 5.472 5.472 120.00 90.00 90.00
Fractional positions:
Dy1 0.500 0.333 0.667
Dy2 0.500 0.667 0.333
Dy3 0.000 0.000 0.000

Output
- relative energy among the computed polymorphs (eV per formula unit) = 0.05
- SG = P6/mmm, No. 191
- E_form (eV/atom) = 0.051

***

Computed, not measured: a PBEsol-optimized structure of Dy at the meta-GGA SCAN level of DFT.

Lattice parameters (Å, degrees): 3.461 3.461 3.461 60.00 60.00 60.00
Fractional positions:
Dy1 0.500 0.500 0.500

Output
- relative energy among the computed polymorphs (eV per formula unit) = 0.02
- SG = Fm-3m, No. 225
- E_form (eV/atom) = 0.018

***

Computed, not measured: a PBEsol-optimized structure of Dy3Er at the meta-GGA SCAN level of DFT.

Lattice parameters (Å, degrees): 4.881 4.881 4.881 90.00 90.00 90.00
Fractional positions:
Er1 0.000 0.000 0.000
Dy1 0.000 0.500 0.500
Dy2 0.500 0.000 0.500
Dy3 0.500 0.500 0.000

Output
- SG = Pm-3m, No. 221
- E_form (eV/atom) = 0.020

***

Computed, not measured: a PBEsol-optimized structure of DyErMn4 at the meta-GGA SCAN level of DFT.

Lattice parameters (Å, degrees): 5.005 5.005 5.005 60.00 60.00 60.00
Each line ends with the local moment (μB).
Fractional positions:
Dy1 0.750 0.750 0.750  -0.38
Er1 0.000 0.000 0.000  -0.41
Mn1 0.875 0.375 0.375  1.97
Mn2 0.375 0.375 0.375  1.97
Mn3 0.375 0.875 0.375  1.97
Mn4 0.375 0.375 0.875  1.97

Output
- SG = F-43m, No. 216
- E_form (eV/atom) = 0.134

***

Computed, not measured: a PBEsol-optimized structure of DyErRu2 at the meta-GGA SCAN level of DFT.

Lattice parameters (Å, degrees): 4.705 4.705 4.705 60.00 60.00 60.00
Fractional positions:
Ru1 0.250 0.250 0.250
Ru2 0.750 0.750 0.750
Er1 0.000 0.000 0.000
Dy1 0.500 0.500 0.500

Output
- SG = Fm-3m, No. 225
- E_form (eV/atom) = -0.468

***

Computed, not measured: a PBEsol-optimized structure of DyErTe2 at the meta-GGA SCAN level of DFT.

Lattice parameters (Å, degrees): 4.265 4.265 6.044 90.00 90.00 90.00
Fractional positions:
Dy1 0.000 0.000 0.000
Te1 0.000 0.000 0.500
Te2 0.500 0.500 0.000
Er1 0.500 0.500 0.500

Output
- formation energy from raw total energies (meV/atom) = -1348
- SG = P4/mmm, No. 123

***

Computed, not measured: a PBEsol-optimized structure of DyErZn2 at the meta-GGA SCAN level of DFT.

Lattice parameters (Å, degrees): 4.931 4.931 4.931 60.00 60.00 60.00
Fractional positions:
Zn1 0.250 0.250 0.250
Zn2 0.750 0.750 0.750
Dy1 0.500 0.500 0.500
Er1 0.000 0.000 0.000

Output
- SG = Fm-3m, No. 225
- E_form (eV/atom) = -0.423

***

Computed, not measured: a PBEsol-optimized structure of Eu2DySbO6 at the meta-GGA SCAN level of DFT.

Lattice parameters (Å, degrees): 5.856 5.856 5.856 60.00 60.00 60.00
Each line ends with the local moment (μB).
Fractional positions:
Eu1 0.250 0.250 0.250  6.90
Eu2 0.750 0.750 0.750  6.90
Sb1 0.500 0.500 0.500  0.00
O1 0.262 0.738 0.262  -0.03
O2 0.262 0.262 0.738  -0.03
O3 0.738 0.738 0.262  -0.03
O4 0.262 0.738 0.738  -0.03
O5 0.738 0.262 0.738  -0.03
O6 0.738 0.262 0.262  -0.03
Dy1 0.000 0.000 0.000  0.02

Output
- formation energy from raw total energies (meV/atom) = -2847
- SG = Fm-3m, No. 225

***

Computed, not measured: a PBEsol-optimized structure of Eu2DyTaO6 at the meta-GGA SCAN level of DFT.

Lattice parameters (Å, degrees): 5.870 5.870 5.870 60.00 60.00 60.00
Each line ends with the local moment (μB).
Fractional positions:
Eu1 0.250 0.250 0.250  6.88
Eu2 0.750 0.750 0.750  6.88
Dy1 0.000 0.000 0.000  0.02
O1 0.262 0.738 0.262  -0.03
O2 0.262 0.262 0.738  -0.03
O3 0.738 0.738 0.262  -0.03
O4 0.262 0.738 0.738  -0.03
O5 0.738 0.262 0.738  -0.03
O6 0.738 0.262 0.262  -0.03
Ta1 0.500 0.500 0.500  0.03

Output
- formation energy from raw total energies (meV/atom) = -3342
- SG = Fm-3m, No. 225